A plane-wave DFT calculation with PBE was carried out for a relaxed TbPmHgIr crystal.

Cell lengths 3.559, 3.559, 7.604 Å; angles 90.00, 90.00, 90.00 degrees
Sites, in units of the cell vectors:
Tb 0.500 0.500 0.352
Pm 0.500 0.500 0.790
Hg 0.000 0.000 0.080
Ir 0.000 0.000 0.562

## Properties
**Energy of formation**: -242 kJ/mol of formula units
**Size of the total moment**: 0.00 μB per formula unit
**Relative energy among the computed polymorphs**: 0.000 eV per atom